The following is a DFT calculation (GGA-PBE) of a geometry-optimized Pm2SO4F5 structure.

Calculated values
For the uncorrected formation energy, the calculation gives -2.708 eV per atom. The value obtained for the total moment is 1.03 μB per formula unit.

```
12
Lattice="-0.973 -0.320 -3.975 -2.899 -5.954 3.308 -4.749 2.832 0.935" Properties=species:S:1:pos:R:3 pbc="T T T"
Pm -3.715 -0.543 -0.404
Pm -4.557 -2.783 2.101
F -2.532 1.364 -0.176
F -2.527 -1.495 1.535
F -4.496 -0.320 1.922
F -3.759 -3.001 -0.162
F -5.729 -1.827 0.226
O -4.360 1.995 -1.943
O -0.849 -1.148 -0.836
O -1.698 0.407 -2.467
O -2.572 -4.977 2.013
S -0.460 -0.151 -1.880
```

The following is a DFT calculation (GGA-PBE) of a geometry-optimized PmS2O8F structure.

Calculated values
For the uncorrected formation energy, the calculation gives -1.519 eV per atom. The value obtained for the total moment is 2.07 μB per formula unit.

```
12
Lattice="-0.488 -2.651 -5.578 0.596 -5.349 -0.950 -5.462 -5.433 -0.380" Properties=species:S:1:pos:R:3 pbc="T T T"
O -3.770 -9.313 -5.565
O -4.608 -6.423 -4.764
O -0.345 -4.922 -4.511
O -0.746 -7.009 -2.145
O -1.584 -4.119 -1.344
O -4.418 -5.391 -2.593
O -0.935 -8.041 -4.316
O -5.008 -8.510 -2.398
F -2.677 -6.716 -3.454
Pm 0.000 0.000 0.000
S -4.322 -10.527 -4.939
S -1.032 -2.905 -1.969
```

The following is a DFT calculation (GGA-PBE) of a geometry-optimized PmSO4F structure.

Calculated values
For the uncorrected formation energy, the calculation gives -2.508 eV per atom. The value obtained for the total moment is 0.00 μB per formula unit.

```
14
Lattice="-2.787 -5.054 -0.821 1.259 -3.112 4.766 -5.412 0.817 3.636" Properties=species:S:1:pos:R:3 pbc="T T T"
O -3.060 -1.740 2.821
O -2.164 -3.990 2.955
O -4.958 -4.618 6.714
O -0.646 -2.088 2.712
O -6.294 -5.259 4.869
O -4.776 -3.357 4.626
O -1.982 -2.730 0.867
O -3.880 -5.607 4.759
Pm -5.034 -1.003 3.994
Pm -1.907 -6.345 3.587
S -4.930 -4.693 5.202
S -2.010 -2.655 2.379
F -5.925 -7.307 6.832
F -1.015 -0.040 0.749
```

Uncorrected energy for the records above, in order: -6.28; -6.06; -6.88 eV per atom
Fermi-level density of states for the records above, in order: 6.59; 3.69; 0.00 states/eV/f.u.